# 1
Material: Si3W5
Method: DFT, GGA-PBE
State: relaxed

Cell lengths 7.279, 7.279, 5.120 Å; angles 90.00, 90.00, 120.00 degrees
Element x y z (fractional)
1 Si 0.604 0.000 0.250
2 Si 0.396 0.000 0.750
3 Si 0.000 0.604 0.250
4 Si 0.396 0.396 0.250
5 Si 0.604 0.604 0.750
6 Si 0.000 0.396 0.750
7 W 0.333 0.667 0.000
8 W 0.667 0.333 0.500
9 W 0.667 0.333 0.000
10 W 0.333 0.667 0.500
11 W 0.235 0.000 0.250
12 W 0.765 0.000 0.750
13 W 0.000 0.235 0.250
14 W 0.765 0.765 0.250
15 W 0.235 0.235 0.750
16 W 0.000 0.765 0.750

Space group = P6_3/mcm (193)
Formation energy from raw total energies = -83 meV per atom
E = -163.41 eV per cell


# 2
Material: MnAsS2
Method: DFT, GGA-PBE
State: relaxed

Cell lengths 7.997, 7.997, 7.997 Å; angles 23.54, 23.54, 23.54 degrees
Site moments in Bohr magnetons follow the coordinates.
Element x y z (fractional)
1 As 0.000 0.000 0.000  0.00
2 Mn 0.500 0.500 0.500  2.22
3 S 0.890 0.890 0.890  -0.01
4 S 0.110 0.110 0.110  -0.01

Space group = R-3m (166)
Formation energy from raw total energies = -244 meV per atom
E = -23.05 eV per cell


# 3
Material: Mg2ZnTc
Method: DFT, GGA-PBE
State: relaxed

Cell lengths 5.020, 5.020, 5.020 Å; angles 133.66, 133.66, 67.61 degrees
Element x y z (fractional)
1 Mg 0.000 0.000 0.000
2 Mg 0.250 0.750 0.500
3 Tc 0.500 0.500 0.000
4 Zn 0.750 0.250 0.500

Space group = I-4m2 (119)
E = -14.29 eV per cell
DFT formation energy = 136 meV per atom


# 4
Material: CaNdSnAu
Method: DFT, GGA-PBE
State: relaxed

Cell lengths 5.345, 5.345, 5.345 Å; angles 60.00, 60.00, 60.00 degrees
Element x y z (fractional)
1 Nd 0.500 0.500 0.500
2 Ca 0.000 0.000 0.000
3 Au 0.750 0.750 0.750
4 Sn 0.250 0.250 0.250

Space group = F-43m (216)
E = -17.07 eV per cell
DFT formation energy = -755 meV per atom


# 5
Material: Rb3UAu2Se6
Method: DFT, GGA-PBE
State: relaxed

Cell lengths 7.936, 7.936, 9.002 Å; angles 90.00, 90.00, 120.00 degrees
Element x y z (fractional)
1 Rb 0.333 0.667 0.683
2 Rb 0.667 0.333 0.317
3 Rb 0.000 0.000 0.000
4 U 0.000 0.000 0.500
5 Au 0.667 0.333 0.689
6 Au 0.333 0.667 0.311
7 Se 0.696 0.848 0.308
8 Se 0.152 0.304 0.308
9 Se 0.152 0.848 0.308
10 Se 0.848 0.696 0.692
11 Se 0.304 0.152 0.692
12 Se 0.848 0.152 0.692

Space group = P-3m1 (164)
Formation energy from raw total energies = -755 meV per atom
E = -50.72 eV per cell


# 6
Material: PaV12Ge6
Method: DFT, GGA-PBE
State: relaxed

Cell lengths 6.959, 6.959, 6.959 Å; angles 104.41, 104.41, 104.41 degrees
Site moments in Bohr magnetons follow the coordinates.
Element x y z (fractional)
1 Pa 0.000 0.000 0.000  0.38
2 V 0.891 0.109 0.500  -0.05
3 V 0.840 0.588 0.588  0.17
4 V 0.588 0.588 0.840  0.17
5 V 0.412 0.160 0.412  0.17
6 V 0.412 0.412 0.160  0.17
7 V 0.160 0.412 0.412  0.17
8 V 0.109 0.500 0.891  -0.05
9 V 0.500 0.891 0.109  -0.05
10 V 0.109 0.891 0.500  -0.05
11 V 0.891 0.500 0.109  -0.05
12 V 0.500 0.109 0.891  -0.05
13 V 0.588 0.840 0.588  0.17
14 Ge 0.731 0.262 0.262  -0.01
15 Ge 0.262 0.262 0.731  -0.01
16 Ge 0.262 0.731 0.262  -0.01
17 Ge 0.738 0.738 0.269  -0.01
18 Ge 0.269 0.738 0.738  -0.01
19 Ge 0.738 0.269 0.738  -0.01

Space group = R-3m (166)
E = -147.19 eV per cell
DFT formation energy = -30 meV per atom